! Pm6Ge6Pb | Alexandria via LeMat-Bulk | PBE-GGA | relaxed; values from VASP
&SYSTEM
  ibrav = 0, nat = 13, ntyp = 3
/
ATOMIC_SPECIES
Pm 145.00 Pm.upf
Ge 72.64 Ge.upf
Pb 207.20 Pb.upf
ATOMIC_POSITIONS crystal
Pm 0.1584 0.1584 0.0000
Pm 0.3050 0.5000 0.8050
Pm 0.3268 0.8268 0.5000
Pm 0.6732 0.1732 0.5000
Pm 0.6950 0.5000 0.1950
Pm 0.8416 0.8416 0.0000
Ge 0.0000 0.0000 0.5000
Ge 0.0000 0.5000 0.0000
Ge 0.2588 0.0000 0.2588
Ge 0.5000 0.0000 0.0000
Ge 0.5000 0.5000 0.5000
Ge 0.7412 0.0000 0.7412
Pb 0.0000 0.5000 0.5000
CELL_PARAMETERS angstrom
-3.0962 4.9794 5.3708
3.0962 -4.9794 5.3708
3.0962 4.9794 -5.3708
! **Energy relative to the elements**: -648 meV/atom


! Pm3GePb | Alexandria via LeMat-Bulk | PBE-GGA | relaxed; values from VASP
&SYSTEM
  ibrav = 0, nat = 10, ntyp = 3
/
ATOMIC_SPECIES
Pm 145.00 Pm.upf
Ge 72.64 Ge.upf
Pb 207.20 Pb.upf
ATOMIC_POSITIONS crystal
Pm 0.2500 0.0120 0.1652
Pm 0.2500 0.2500 0.5815
Pm 0.2500 0.4880 0.1652
Pm 0.7500 0.5120 0.8348
Pm 0.7500 0.7500 0.4185
Pm 0.7500 0.9880 0.8348
Ge 0.2500 0.2500 0.8984
Ge 0.7500 0.7500 0.1016
Pb 0.2500 0.7500 0.6417
Pb 0.7500 0.2500 0.3583
CELL_PARAMETERS angstrom
4.6114 0.0000 0.0000
0.0000 7.0409 0.0000
0.0000 0.0000 9.5465
! **Polymorph energy (0 for the lowest one)**: 0 meV/atom
! **Energy relative to the elements**: -598 meV/atom


! Pm3Ge2Pb | Alexandria via LeMat-Bulk | PBE-GGA | relaxed; values from VASP
&SYSTEM
  ibrav = 0, nat = 6, ntyp = 3
/
ATOMIC_SPECIES
Pm 145.00 Pm.upf
Ge 72.64 Ge.upf
Pb 207.20 Pb.upf
ATOMIC_POSITIONS crystal
Pm 0.0000 0.0000 0.0000
Pm 0.1738 0.8262 0.5000
Pm 0.8262 0.1738 0.5000
Ge 0.3470 0.6530 0.0000
Ge 0.6530 0.3470 0.0000
Pb 0.5000 0.5000 0.5000
CELL_PARAMETERS angstrom
2.2823 -8.1991 0.0000
2.2823 8.1991 0.0000
0.0000 0.0000 4.2740
! **Polymorph energy (0 for the lowest one)**: 90 meV/atom
! **Energy relative to the elements**: -555 meV/atom


! Pm5Ge3Pb | Alexandria via LeMat-Bulk | PBE-GGA | relaxed; values from VASP
&SYSTEM
  ibrav = 0, nat = 18, ntyp = 3
/
ATOMIC_SPECIES
Pm 145.00 Pm.upf
Ge 72.64 Ge.upf
Pb 207.20 Pb.upf
ATOMIC_POSITIONS crystal
Pm 0.1666 0.1666 0.0000
Pm 0.1666 0.1666 0.5000
Pm 0.2158 0.5003 0.2500
Pm 0.2162 0.7838 0.7500
Pm 0.5003 0.2158 0.7500
Pm 0.4997 0.7842 0.2500
Pm 0.7838 0.2162 0.2500
Pm 0.7842 0.4997 0.7500
Pm 0.8334 0.8334 0.0000
Pm 0.8334 0.8334 0.5000
Ge 0.1202 0.4999 0.7500
Ge 0.1198 0.8802 0.2500
Ge 0.4999 0.1202 0.2500
Ge 0.5001 0.8798 0.7500
Ge 0.8802 0.1198 0.7500
Ge 0.8798 0.5001 0.2500
Pb 0.5000 0.5000 0.0000
Pb 0.5000 0.5000 0.5000
CELL_PARAMETERS angstrom
8.0173 -4.6355 0.0000
8.0173 4.6355 0.0000
0.0000 0.0000 6.5599
! **Energy relative to the elements**: -597 meV/atom


Question: Among the records above, which one has the lowest energy relative to the elements?
Answer: Pm6Ge6Pb


Question: The highest energy relative to the elements belongs to which entry?
Answer: Pm3Ge2Pb